The following is a DFT calculation (GGA-PBEsol) of crystalline Re2HgRu at its relaxed geometry.

Summary:
**Total DFT energy (no corrections)**: -8.728 eV per atom

Unit cell a=3.945 b=3.945 c=7.802 alpha=90.00 beta=90.00 gamma=90.00
Space group I-4m2 (No. 119)
Unique sites:
Re (0.000, 0.000, 0.000)
Re (0.000, 0.500, 0.250)
Hg (0.000, 0.500, 0.750)
Ru (0.000, 0.000, 0.500)

=====

The following is a DFT calculation (GGA-PBEsol) of crystalline ReHg2Ru at its relaxed geometry.

Summary:
**Total DFT energy (no corrections)**: -5.345 eV per atom

Unit cell a=2.835 b=4.821 c=4.923 alpha=90.00 beta=91.75 gamma=90.00
Space group P2/m (No. 10)
Unique sites:
Re (0.000, 0.000, 0.000)
Hg (0.256, 0.500, 0.748)
Ru (0.500, 0.000, 0.500)

=====

The following is a DFT calculation (GGA-PBEsol) of crystalline ReHgRu2 at its relaxed geometry.

Summary:
**Total DFT energy (no corrections)**: -8.333 eV per atom

Unit cell a=2.810 b=2.810 c=7.684 alpha=90.00 beta=90.00 gamma=90.00
Space group P4/mmm (No. 123)
Unique sites:
Re (0.000, 0.000, 0.000)
Hg (0.000, 0.000, 0.500)
Ru (0.500, 0.500, 0.225)

=====

The following is a DFT calculation (GGA-PBEsol) of crystalline ReHgRu2 at its relaxed geometry.

Summary:
**Total DFT energy (no corrections)**: -7.880 eV per atom

Unit cell a=3.992 b=3.992 c=3.758 alpha=90.00 beta=90.00 gamma=90.00
Space group P4/mmm (No. 123)
Unique sites:
Re (0.000, 0.000, 0.000)
Hg (0.500, 0.500, 0.000)
Ru (0.000, 0.500, 0.500)

=====

The following is a DFT calculation (GGA-PBEsol) of crystalline ReHgSb2 at its relaxed geometry.

Summary:
**ΔE_f (raw)**: 103 kJ/mol of formula units

Unit cell a=5.559 b=3.267 c=10.448 alpha=90.00 beta=103.51 gamma=90.00
Space group C2/m (No. 12)
Unique sites:
Re (0.000, 0.000, 0.000)
Hg (0.000, 0.000, 0.500)
Sb (0.079, 0.500, 0.805)

=====

The following is a DFT calculation (GGA-PBEsol) of crystalline ReHgSb3 at its relaxed geometry.

Summary:
**ΔE_f (raw)**: 297 kJ/mol of formula units

Unit cell a=5.150 b=5.150 c=5.150 alpha=90.00 beta=90.00 gamma=90.00
Space group Pm-3m (No. 221)
Unique sites:
Re (0.000, 0.000, 0.000)
Hg (0.500, 0.500, 0.500)
Sb (0.000, 0.000, 0.500)

=====

The following is a DFT calculation (GGA-PBEsol) of crystalline YReHg2Sb at its relaxed geometry.

Summary:
**ΔE_f (raw)**: 806 kJ/mol of formula units

Unit cell a=5.526 b=5.526 c=5.647 alpha=90.00 beta=90.00 gamma=90.00
Space group P4/mmm (No. 123)
Unique sites:
Y (0.000, 0.000, 0.000)
Re (0.500, 0.500, 0.500)
Hg (0.000, 0.500, 0.000)
Sb (0.000, 0.000, 0.500)

=====

The following is a DFT calculation (GGA-PBEsol) of crystalline ScReHg3 at its relaxed geometry.

Summary:
**Total DFT energy (no corrections)**: -3.425 eV per atom

Unit cell a=5.086 b=5.086 c=5.086 alpha=90.00 beta=90.00 gamma=90.00
Space group Pm-3m (No. 221)
Unique sites:
Sc (0.000, 0.000, 0.000)
Re (0.500, 0.500, 0.500)
Hg (0.000, 0.500, 0.500)